1.
Material: SbOs2ClO
Method: DFT, PBE
State: optimized geometry

a = 5.0873 Å, b = 4.1252 Å, c = 5.0873 Å
α = 90.00°, β = 90.00°, γ = 90.00°
Closest atoms and distances in Å follow each position.
Fractional coordinates of all 5 atoms:
Sb: 0.0000 0.0000 0.0000  2 O 2.06
Os: 0.0000 0.0000 0.5000  2 Sb 2.54
Os: 0.5000 0.0000 0.0000  2 Sb 2.54
O: 0.0000 0.5000 0.0000  2 Sb 2.06
Cl: 0.5000 0.5000 0.5000  8 Os 3.27, 4 O 3.60

raw formation energy	1.70	eV/atom
size of the total moment	4.82	μB/f.u.
energy	-4.9813	eV per atom

---

2.
Material: Pu2CoRu
Method: DFT, PBE
State: optimized geometry

a = 5.5610 Å, b = 5.7197 Å, c = 5.7197 Å
α = 85.26°, β = 61.85°, γ = 118.15°
Closest atoms and distances in Å follow each position.
Fractional coordinates of all 8 atoms:
Pu: 0.5000 0.2826 0.7826  2 Pu 2.37
Pu: 0.8775 0.6887 0.8113  2 Pu 2.37
Pu: 0.1225 0.3113 0.1887  2 Pu 2.37
Pu: 0.5000 0.7174 0.2174  2 Pu 2.37
Co: 0.4999 0.1649 0.3351  1 Co 2.56, 4 Pu 2.70-2.79
Co: 0.5001 0.8351 0.6649  1 Co 2.56, 4 Pu 2.70-2.79
Ru: 0.0000 0.2500 0.7500  8 Pu 2.79-2.90, 4 Co 2.97
Ru: 0.0000 0.7500 0.2500  8 Pu 2.79-2.90, 4 Co 2.97

size of the total moment	0.00	μB/f.u.
formation enthalpy at 0 K	66	kJ/mol of formula units
energy	-11.0896	eV per atom

---

3.
Material: Rb2Ho2HfS6
Method: DFT, PBE
State: optimized geometry

a = 6.7611 Å, b = 6.7611 Å, c = 8.2024 Å
α = 98.18°, β = 98.18°, γ = 119.64°
Closest atoms and distances in Å follow each position.
Fractional coordinates of all 11 atoms:
Rb: 0.8300 0.1700 0.0000  6 S 3.33-3.40
Rb: 0.1700 0.8300 0.0000  6 S 3.33-3.40
Ho: 0.3334 0.6666 0.5000  6 S 2.73-2.74
Ho: 0.6666 0.3334 0.5000  6 S 2.73-2.74
Hf: 0.0000 0.0000 0.5000  6 S 2.58
S: 0.7487 0.7487 0.6836  1 Hf 2.58, 2 Ho 2.73
S: 0.0633 0.3792 0.6847  1 Hf 2.58, 2 Ho 2.73-2.74
S: 0.2513 0.2513 0.3164  1 Hf 2.58, 2 Ho 2.73
S: 0.3792 0.0633 0.6847  1 Hf 2.58, 2 Ho 2.73-2.74
S: 0.9367 0.6208 0.3153  1 Hf 2.58, 2 Ho 2.73-2.74
S: 0.6208 0.9367 0.3153  1 Hf 2.58, 2 Ho 2.73-2.74

raw formation energy	-1.81	eV/atom
size of the total moment	0.00	μB/f.u.
energy	-5.9751	eV per atom

---

4.
Material: La2Tb5Pr2
Method: DFT, PBE
State: optimized geometry

a = 3.5200 Å, b = 9.9689 Å, c = 12.4740 Å
α = 133.74°, β = 98.11°, γ = 90.00°
Closest atoms and distances in Å follow each position.
Fractional coordinates of all 9 atoms:
La: 0.8352 0.8914 0.6705  7 Tb 3.40-3.63, 2 La 3.52, 2 Pr 3.74
La: 0.1648 0.1086 0.3295  7 Tb 3.40-3.63, 2 La 3.52, 2 Pr 3.74
Tb: 0.6711 0.8015 0.3422  3 La 3.49-3.63, 2 Pr 3.51-3.60, 6 Tb 3.52-3.68
Tb: 0.3289 0.1985 0.6578  3 La 3.49-3.63, 2 Pr 3.51-3.60, 6 Tb 3.52-3.68
Tb: 0.8267 0.5194 0.6534  5 Tb 3.52-3.68, 3 La 3.56-3.60, 2 Pr 3.70
Tb: 0.1733 0.4806 0.3466  5 Tb 3.52-3.68, 3 La 3.56-3.60, 2 Pr 3.70
Tb: 0.0000 0.0000 0.0000  2 La 3.40, 4 Tb 3.52-3.55, 4 Pr 3.59
Pr: 0.4950 0.6779 0.9899  6 Tb 3.51-3.70, 3 Pr 3.52-3.72, 2 La 3.74
Pr: 0.5050 0.3221 0.0101  6 Tb 3.51-3.70, 3 Pr 3.52-3.72, 2 La 3.74

size of the total moment	0.00	μB/f.u.
formation enthalpy at 0 K	118	kJ/mol of formula units
energy	-4.5932	eV per atom

---

5.
Material: SrSnRh3
Method: DFT, PBE
State: optimized geometry

a = 4.9354 Å, b = 4.9354 Å, c = 4.9354 Å
α = 90.00°, β = 90.00°, γ = 90.00°
Closest atoms and distances in Å follow each position.
Fractional coordinates of all 5 atoms:
Sr: 0.5000 0.5000 0.5000  12 Rh 3.49
Rh: 0.0000 0.5000 0.0000  2 Sn 2.47
Rh: 0.0000 0.0000 0.5000  2 Sn 2.47
Rh: 0.5000 0.0000 0.0000  2 Sn 2.47
Sn: 0.0000 0.0000 0.0000  6 Rh 2.47

size of the total moment	0.69	μB/f.u.
formation enthalpy at 0 K	123	kJ/mol of formula units
energy	-5.2931	eV per atom

---

6.
Material: K3Be2H8
Method: DFT, PBE
State: optimized geometry

a = 5.4699 Å, b = 5.4699 Å, c = 7.4349 Å
α = 68.42°, β = 68.42°, γ = 60.00°
Closest atoms and distances in Å follow each position.
Fractional coordinates of all 13 atoms:
K: 0.0000 0.0000 0.0000  6 H 2.73
K: 0.7867 0.7867 0.6399  10 H 2.76-2.81
K: 0.2133 0.2133 0.3601  10 H 2.76-2.81
Be: 0.5735 0.5735 0.2796  4 H 1.44-1.49
Be: 0.4265 0.4265 0.7204  4 H 1.44-1.49
H: 0.6474 0.6474 0.0578  1 Be 1.49
H: 0.3526 0.3526 0.9422  1 Be 1.49
H: 0.2624 0.7124 0.3128  1 Be 1.44
H: 0.7124 0.2624 0.3128  1 Be 1.44
H: 0.7124 0.7124 0.3128  1 Be 1.44
H: 0.2876 0.7376 0.6872  1 Be 1.44
H: 0.7376 0.2876 0.6872  1 Be 1.44
H: 0.2876 0.2876 0.6872  1 Be 1.44

size of the total moment	0.98	μB/f.u.
energy	-2.9632	eV per atom

---

7.
Material: MgInSi
Method: DFT, PBE
State: optimized geometry

a = 5.3162 Å, b = 3.7061 Å, c = 6.9817 Å
α = 90.00°, β = 103.08°, γ = 90.00°
Closest atoms and distances in Å follow each position.
Fractional coordinates of all 6 atoms:
Mg: 0.6654 0.2500 0.6820  4 Si 2.75-2.88, 2 In 3.05
Mg: 0.3346 0.7500 0.3180  4 Si 2.75-2.88, 2 In 3.05
In: 0.2433 0.2500 0.9629  1 Si 2.72, 2 Mg 3.05
In: 0.7567 0.7500 0.0371  1 Si 2.72, 2 Mg 3.05
Si: 0.1357 0.2500 0.5627  2 Si 2.39
Si: 0.8643 0.7500 0.4373  2 Si 2.39

raw formation energy	0.01	eV/atom
size of the total moment	0.00	μB/f.u.
energy	-3.2447	eV per atom

---

8.
Material: SmGdSc2
Method: DFT, PBE
State: optimized geometry

a = 3.8824 Å, b = 3.8824 Å, c = 7.5807 Å
α = 90.00°, β = 90.00°, γ = 90.00°
Closest atoms and distances in Å follow each position.
Fractional coordinates of all 4 atoms:
Sc: 0.0000 0.0000 0.7537  4 Gd 3.32, 4 Sm 3.35
Sc: 0.0000 0.0000 0.2463  4 Gd 3.32, 4 Sm 3.35
Gd: 0.5000 0.5000 0.0000  8 Sc 3.32
Sm: 0.5000 0.5000 0.5000  8 Sc 3.35

size of the total moment	7.20	μB/f.u.
formation enthalpy at 0 K	28	kJ/mol of formula units
energy	-7.7939	eV per atom

---

9.
Material: Tb15NdIn4
Method: DFT, PBE
State: optimized geometry

a = 4.8749 Å, b = 4.8749 Å, c = 24.8526 Å
α = 90.00°, β = 90.00°, γ = 90.00°
Closest atoms and distances in Å follow each position.
Fractional coordinates of all 20 atoms:
Tb: 0.5000 0.5000 0.0000  4 Nd 3.45, 8 Tb 3.60
Tb: 0.5000 0.5000 0.2063  8 Tb 3.44-3.47, 4 In 3.45
Tb: 0.5000 0.5000 0.4021  8 Tb 3.44-3.45, 4 In 3.45
Tb: 0.5000 0.5000 0.5979  8 Tb 3.44-3.45, 4 In 3.45
Tb: 0.5000 0.5000 0.7937  8 Tb 3.44-3.47, 4 In 3.45
Tb: 0.5000 0.0000 0.1068  8 Tb 3.45-3.60, 2 In 3.48, 2 Nd 3.60
Tb: 0.5000 0.0000 0.3038  4 In 3.43-3.45, 8 Tb 3.44-3.45
Tb: 0.5000 0.0000 0.5000  4 In 3.44, 8 Tb 3.44-3.45
Tb: 0.5000 0.0000 0.6962  4 In 3.43-3.45, 8 Tb 3.44-3.45
Tb: 0.5000 0.0000 0.8932  8 Tb 3.45-3.60, 2 In 3.48, 2 Nd 3.60
Tb: 0.0000 0.5000 0.1068  8 Tb 3.45-3.60, 2 In 3.48, 2 Nd 3.60
Tb: 0.0000 0.5000 0.3038  4 In 3.43-3.45, 8 Tb 3.44-3.45
Tb: 0.0000 0.5000 0.5000  4 In 3.44, 8 Tb 3.44-3.45
Tb: 0.0000 0.5000 0.6962  4 In 3.43-3.45, 8 Tb 3.44-3.45
Tb: 0.0000 0.5000 0.8932  8 Tb 3.45-3.60, 2 In 3.48, 2 Nd 3.60
Nd: 0.0000 0.0000 0.0000  12 Tb 3.45-3.60
In: 0.0000 0.0000 0.2068  12 Tb 3.43-3.48
In: 0.0000 0.0000 0.4022  12 Tb 3.44-3.45
In: 0.0000 0.0000 0.5978  12 Tb 3.44-3.45
In: 0.0000 0.0000 0.7932  12 Tb 3.43-3.48

size of the total moment	0.05	μB/f.u.
formation enthalpy at 0 K	-390	kJ/mol of formula units
energy	-4.4611	eV per atom

---

10.
Material: AgRhSe2
Method: DFT, PBE
State: optimized geometry

a = 7.2765 Å, b = 4.5826 Å, c = 3.3409 Å
α = 90.06°, β = 62.59°, γ = 128.76°
Closest atoms and distances in Å follow each position.
Fractional coordinates of all 4 atoms:
Ag: 0.0000 0.5000 0.5000  8 Se 2.83-2.84
Rh: 0.5000 0.5000 0.0000  8 Se 2.83-2.84
Se: 0.0000 0.0000 0.0000  4 Rh 2.83-2.84, 4 Ag 2.83-2.84
Se: 0.5000 0.0000 0.5000  4 Ag 2.83-2.84, 4 Rh 2.83-2.84

raw formation energy	0.18	eV/atom
size of the total moment	0.00	μB/f.u.
energy	-4.1133	eV per atom

---

11.
Material: Ca3NiGe
Method: DFT, PBE
State: optimized geometry

a = 5.2376 Å, b = 5.2376 Å, c = 5.2376 Å
α = 90.00°, β = 90.00°, γ = 90.00°
Closest atoms and distances in Å follow each position.
Fractional coordinates of all 5 atoms:
Ni: 0.0000 0.0000 0.0000  6 Ca 2.62
Ge: 0.5000 0.5000 0.5000  12 Ca 3.70
Ca: 0.0000 0.5000 0.0000  2 Ni 2.62
Ca: 0.0000 0.0000 0.5000  2 Ni 2.62
Ca: 0.5000 0.0000 0.0000  2 Ni 2.62

size of the total moment	0.00	μB/f.u.
formation enthalpy at 0 K	-14	kJ/mol of formula units
energy	-3.3100	eV per atom

---

12.
Material: Dy5ErGa6
Method: DFT, PBE
State: optimized geometry

a = 5.0396 Å, b = 7.1195 Å, c = 7.9717 Å
α = 90.00°, β = 71.57°, γ = 90.00°
Closest atoms and distances in Å follow each position.
Fractional coordinates of all 12 atoms:
Dy: 0.6672 0.5000 0.6655  8 Ga 3.09-3.10
Dy: 0.3336 0.0000 0.3327  8 Ga 3.08-3.09
Dy: 0.0000 0.5000 0.0000  8 Ga 3.08-3.09
Dy: 0.6664 0.0000 0.6673  8 Ga 3.08-3.09
Dy: 0.3328 0.5000 0.3345  8 Ga 3.09-3.10
Ga: 0.8340 0.7512 0.3320  1 Er 3.07, 7 Dy 3.08-3.09
Ga: 0.8340 0.2488 0.3320  1 Er 3.07, 7 Dy 3.08-3.09
Ga: 0.5000 0.2490 0.0000  6 Dy 3.08-3.10, 2 Er 3.08
Ga: 0.5000 0.7510 0.0000  6 Dy 3.08-3.10, 2 Er 3.08
Ga: 0.1660 0.7512 0.6680  1 Er 3.07, 7 Dy 3.08-3.09
Ga: 0.1660 0.2488 0.6680  1 Er 3.07, 7 Dy 3.08-3.09
Er: 0.0000 0.0000 0.0000  8 Ga 3.07-3.08

size of the total moment	0.00	μB/f.u.
formation enthalpy at 0 K	-675	kJ/mol of formula units
energy	-4.3940	eV per atom